## Ta4Nb2Mo5 (PBE)

Data for Ta4Nb2Mo5 after structural relaxation.

Summary:
M_tot: 0.0 μB/cell
calculated formation energy: 240.6 meV per atom
density: 11.98 Mg/m³
space group: P2/m

a = 2.6676 Å, b = 7.2668 Å, c = 9.9467 Å
α = 92.64°, β = 90.00°, γ = 90.00°
Positions (direct):
Mo1 0.0000 0.5000 0.0000
Ta1 0.5000 0.8527 0.0931
Mo2 0.0000 0.2263 0.1749
Mo3 0.0000 0.7737 0.8251
Ta2 0.5000 0.1473 0.9069
Ta3 0.5000 0.3145 0.4478
Nb1 0.0000 0.0491 0.6415
Mo4 0.0000 0.4162 0.7254
Ta4 0.5000 0.6855 0.5522
Mo5 0.0000 0.5838 0.2746
Nb2 0.0000 0.9509 0.3585